Record 1
Entry from the Alexandria database: an optimized crystal structure of KScAu2 (PBE).

Geometry as POSCAR:
```
KScAu2
1.0
-2.1043 3.8820 2.2762
-4.7407 -0.2494 1.4636
-1.0956 -0.2526 4.8389
Au K Sc
2 1 1
Direct
0.0000 0.0000 0.0000 Au
0.2500 0.2500 0.2500 Au
0.5000 0.5000 0.5000 K
0.7500 0.7500 0.7500 Sc
```

Values from the calculation:
The space-group type is F-43m, No. 216. The energy above the most stable polymorph in this dataset is 0.5249 eV per atom. For the formation energy, the calculation gives 0.027 eV/f.u.

Record 2
Entry from the Alexandria database: an optimized crystal structure of KSc4Au (PBE).

Geometry as POSCAR:
```
KSc4Au
1.0
-5.0022 1.0861 3.2785
-2.4827 5.5485 0.0091
-5.3149 0.9562 -2.7907
K Sc Au
1 4 1
Direct
0.0000 0.0000 0.0000 K
0.8677 0.3774 0.3774 Sc
0.3774 0.3774 0.8677 Sc
0.3774 0.8677 0.3774 Sc
0.3774 0.3774 0.3774 Sc
0.7500 0.7500 0.7500 Au
```

Values from the calculation:
The space-group type is F-43m, No. 216. For the formation energy, the calculation gives 2.901 eV/f.u.

Record 3
Entry from the Alexandria database: an optimized crystal structure of K3ScAu (PBE).

Geometry as POSCAR:
```
K3ScAu
1.0
-1.6260 -4.8687 3.7308
2.2120 -4.0654 -4.3412
5.7210 0.1882 2.7389
Sc K Au
1 3 1
Direct
0.5000 0.5000 0.5000 Sc
0.0000 0.5000 0.0000 K
0.0000 0.0000 0.5000 K
0.5000 0.0000 0.0000 K
0.0000 0.0000 0.0000 Au
```

Values from the calculation:
The space-group type is Pm-3m, No. 221. The energy above the most stable polymorph in this dataset is 0.0000 eV per atom. For the formation energy, the calculation gives 2.164 eV/f.u.

Record 4
Entry from the Alexandria database: an optimized crystal structure of KScAu (PBE).

Geometry as POSCAR:
```
KScAu
1.0
5.0375 0.0000 0.0000
2.5187 4.3626 0.0000
2.5187 1.4542 4.1131
Au K Sc
1 1 1
Direct
0.7500 0.7500 0.7500 Au
0.0000 0.0000 0.0000 K
0.5000 0.5000 0.5000 Sc
```

Values from the calculation:
The space-group type is F-43m, No. 216. The energy above the most stable polymorph in this dataset is 0.3909 eV per atom. For the formation energy, the calculation gives 0.577 eV/f.u.

Record 5
Entry from the Alexandria database: an optimized crystal structure of KScTe2Au (PBE).

Geometry as POSCAR:
```
KScTe2Au
1.0
5.6253 0.0000 0.0000
0.0000 5.3653 0.0000
0.0000 0.0000 5.6253
Sc K Te Au
1 1 2 1
Direct
0.5000 0.5000 0.5000 Sc
0.0000 0.5000 0.0000 K
0.0000 0.0000 0.5000 Te
0.5000 0.0000 0.0000 Te
0.0000 0.0000 0.0000 Au
```

Values from the calculation:
The space-group type is P4/mmm, No. 123. The energy above the most stable polymorph in this dataset is 0.9114 eV per atom. The calculation puts the formation energy (no corrections) at 0.58 eV per formula unit.

Record 6
Entry from the Alexandria database: an optimized crystal structure of KSc2Te4Au (PBE).

Geometry as POSCAR:
```
KSc2Te4Au
1.0
4.1135 0.0000 0.0000
-2.0567 8.1249 0.0000
0.0000 0.0000 15.7394
K Sc Te Au
2 4 8 2
Direct
0.1720 0.3440 0.7500 K
0.8280 0.6560 0.2500 K
0.4034 0.8067 0.5927 Sc
0.5966 0.1933 0.0927 Sc
0.5966 0.1933 0.4073 Sc
0.4034 0.8067 0.9073 Sc
0.2206 0.4413 0.1020 Te
0.7794 0.5587 0.6020 Te
0.7794 0.5587 0.8980 Te
0.2206 0.4413 0.3980 Te
0.0000 0.0000 0.5000 Te
0.0000 0.0000 0.0000 Te
0.4905 0.9810 0.7500 Te
0.5095 0.0190 0.2500 Te
0.8698 0.7396 0.7500 Au
0.1302 0.2604 0.2500 Au
```

Values from the calculation:
The space-group type is Cmcm, No. 63. The calculation puts the formation energy (no corrections) at -7.77 eV per formula unit.

Record 7
Entry from the Alexandria database: an optimized crystal structure of KScTe2Au (PBE).

Geometry as POSCAR:
```
KScTe2Au
1.0
-3.5538 -1.3503 -2.9204
-4.7593 -1.5837 6.5238
-2.2649 7.7561 -0.8301
K Sc Te Au
2 2 4 2
Direct
0.1028 0.5000 0.7500 K
0.8972 0.5000 0.2500 K
0.4971 0.0000 0.2500 Sc
0.5029 0.0000 0.7500 Sc
0.6236 0.7548 0.9757 Te
0.6236 0.2452 0.5243 Te
0.3764 0.7548 0.4757 Te
0.3764 0.2452 0.0243 Te
0.0000 0.0000 0.0000 Au
0.0000 0.0000 0.5000 Au
```

Values from the calculation:
The space-group type is P2/c, No. 13. The energy above the most stable polymorph in this dataset is 0.0000 eV per atom. The calculation puts the formation energy (no corrections) at -3.98 eV per formula unit.

Record 8
Entry from the Alexandria database: an optimized crystal structure of KAu2Se (PBE).

Geometry as POSCAR:
```
KAu2Se
1.0
2.9061 0.0000 0.0000
0.0000 4.7761 0.0000
0.0000 0.0000 7.6609
Au K Se
2 1 1
Direct
0.0000 0.0000 0.1183 Au
0.5000 0.5000 0.1034 Au
0.0000 0.0000 0.5356 K
0.5000 0.5000 0.7427 Se
```

Values from the calculation:
The space-group type is Pmm2, No. 25. The calculation puts the formation energy (no corrections) at -0.63 eV per formula unit.

Record 9
Entry from the Alexandria database: an optimized crystal structure of K2AuSe2 (PBE).

Geometry as POSCAR:
```
K2AuSe2
1.0
7.4088 0.0000 0.0000
0.0000 7.4088 0.0000
0.0000 0.0000 5.0378
K Au Se
4 2 4
Direct
0.1514 0.6514 0.5000 K
0.6514 0.8486 0.5000 K
0.8486 0.3486 0.5000 K
0.3486 0.1514 0.5000 K
0.0000 0.0000 0.0000 Au
0.5000 0.5000 0.0000 Au
0.3348 0.8348 0.0000 Se
0.8348 0.6652 0.0000 Se
0.6652 0.1652 0.0000 Se
0.1652 0.3348 0.0000 Se
```

Values from the calculation:
The space-group type is P4/mbm, No. 127. The calculation puts the formation energy (no corrections) at -3.21 eV per formula unit.

Record 10
Entry from the Alexandria database: an optimized crystal structure of KAu2Se (PBE).

Geometry as POSCAR:
```
KAu2Se
1.0
-2.2902 7.1625 -8.1988
-4.9870 5.7898 -8.0854
-4.3879 8.1061 -6.2292
Au K Se
2 1 1
Direct
0.0001 0.0001 0.0001 Au
0.4999 0.4999 0.4999 Au
0.2500 0.2500 0.2500 K
0.7500 0.7500 0.7500 Se
```

Values from the calculation:
The space-group type is R-3m, No. 166. The calculation puts the formation energy (no corrections) at 1.25 eV per formula unit.

Record 11
Entry from the Alexandria database: an optimized crystal structure of K2AuSe2 (PBE).

Geometry as POSCAR:
```
K2AuSe2
1.0
6.5987 0.0000 0.0000
0.0000 6.5987 0.0000
3.2994 3.2994 4.9111
K Au Se
2 1 2
Direct
0.7500 0.2500 0.5000 K
0.2500 0.7500 0.5000 K
0.0000 0.0000 0.0000 Au
0.2440 0.2440 0.5120 Se
0.7560 0.7560 0.4880 Se
```

Values from the calculation:
The space-group type is I4/mmm, No. 139. The calculation puts the formation energy (no corrections) at -3.40 eV per formula unit.

Record 12
Entry from the Alexandria database: an optimized crystal structure of KAu2Se (PBE).

Geometry as POSCAR:
```
KAu2Se
1.0
4.7672 0.0000 0.0000
0.0000 2.9115 -0.1266
0.0000 -1.0509 7.6463
Au K Se
2 1 1
Direct
0.0000 0.7542 0.1263 Au
0.5000 0.2426 0.1024 Au
0.0000 0.4504 0.5290 K
0.5000 0.0527 0.7423 Se
```

Values from the calculation:
The space-group type is Pm, No. 6. The calculation puts the formation energy (no corrections) at -0.68 eV per formula unit.

Record 13
Entry from the Alexandria database: an optimized crystal structure of KAu2Se (PBE).

Geometry as POSCAR:
```
KAu2Se
1.0
-5.0287 0.5725 1.9712
1.8126 -1.2091 4.9753
0.0014 8.4772 5.0245
K Au Se
2 4 2
Direct
0.5000 0.5000 0.0000 K
0.2500 0.7500 0.5000 K
0.8750 0.1250 0.2500 Au
0.8750 0.6250 0.2500 Au
0.3750 0.1250 0.7500 Au
0.8750 0.1250 0.7500 Au
0.0000 0.0000 0.0000 Se
0.7500 0.2500 0.5000 Se
```

Values from the calculation:
The space-group type is I4_1/amd, No. 141. The calculation puts the formation energy (no corrections) at -1.28 eV per formula unit.

Record 14
Entry from the Alexandria database: an optimized crystal structure of K2AuSe (PBE).

Geometry as POSCAR:
```
K2AuSe
1.0
-3.6130 1.6524 -4.1342
-0.6570 -4.8857 -2.9283
-0.6891 0.7283 5.6454
Au K Se
1 2 1
Direct
0.7500 0.2500 0.5000 Au
0.0000 0.0000 0.0000 K
0.5000 0.5000 0.0000 K
0.2500 0.7500 0.5000 Se
```

Values from the calculation:
The space-group type is I4/mmm, No. 139. The calculation puts the formation energy (no corrections) at -1.96 eV per formula unit.

Record 15
Entry from the Alexandria database: an optimized crystal structure of KAuSe3 (PBE).

Geometry as POSCAR:
```
KAuSe3
1.0
5.1854 1.2870 0.0000
-0.3352 5.0263 0.0000
0.0000 0.0000 12.1522
K Au Se
2 2 6
Direct
0.4042 0.4338 0.2500 K
0.5958 0.5662 0.7500 K
0.5000 0.0000 0.5000 Au
0.5000 0.0000 0.0000 Au
0.1608 0.3091 0.5931 Se
0.9206 0.9583 0.2500 Se
0.0794 0.0417 0.7500 Se
0.1608 0.3091 0.9069 Se
0.8392 0.6909 0.0931 Se
0.8392 0.6909 0.4069 Se
```

Values from the calculation:
The space-group type is P2_1/m, No. 11. The calculation puts the formation energy (no corrections) at -2.06 eV per formula unit.

Record 16
Entry from the Alexandria database: an optimized crystal structure of K2AuSe (PBE).

Geometry as POSCAR:
```
K2AuSe
1.0
-0.3343 -3.0882 8.6522
1.0513 -6.5745 6.3388
3.9199 -3.4596 7.5614
Au K Se
1 2 1
Direct
0.7500 0.7500 0.7500 Au
0.0004 0.0004 0.0004 K
0.4996 0.4996 0.4996 K
0.2500 0.2500 0.2500 Se
```

Values from the calculation:
The space-group type is R-3m, No. 166. The calculation puts the formation energy (no corrections) at -1.49 eV per formula unit.

Record 17
Entry from the Alexandria database: an optimized crystal structure of K2AuSe (PBE).

Geometry as POSCAR:
```
K2AuSe
1.0
4.7382 -0.0003 -0.0061
3.7188 2.9362 -0.0061
0.8664 0.3008 8.8358
Au K Se
1 2 1
Direct
0.2500 0.2500 0.2500 Au
0.0047 0.0047 0.9772 K
0.4953 0.4953 0.5228 K
0.7500 0.7500 0.7500 Se
```

Values from the calculation:
The space-group type is C2/m, No. 12. The calculation puts the formation energy (no corrections) at -1.95 eV per formula unit.

Record 18
Entry from the Alexandria database: an optimized crystal structure of KAu2Se (PBE).

Geometry as POSCAR:
```
KAu2Se
1.0
3.5974 0.0000 0.0000
0.0000 3.5974 0.0000
0.0000 0.0000 7.5027
Au K Se
2 1 1
Direct
0.0000 0.0000 0.0148 Au
0.5000 0.5000 0.1768 Au
0.0000 0.0000 0.5070 K
0.5000 0.5000 0.8014 Se
```

Values from the calculation:
The space-group type is P4mm, No. 99. The calculation puts the formation energy (no corrections) at -0.23 eV per formula unit.

Record 19
Entry from the Alexandria database: an optimized crystal structure of K12Au3Se5 (PBE).

Geometry as POSCAR:
```
K12Au3Se5
1.0
-2.5573 -4.9535 16.0300
-5.2504 -12.1784 -10.5905
16.5424 2.8893 -2.4577
Au Se K
12 20 48
Direct
0.7500 0.3750 0.1250 Au
0.8750 0.7500 0.1250 Au
0.3750 0.7500 0.6250 Au
0.2500 0.1250 0.3750 Au
0.8750 0.1250 0.2500 Au
0.3750 0.6250 0.2500 Au
0.6250 0.3750 0.7500 Au
0.1250 0.8750 0.7500 Au
0.7500 0.8750 0.6250 Au
0.6250 0.2500 0.3750 Au
0.1250 0.2500 0.8750 Au
0.2500 0.6250 0.8750 Au
0.1250 0.3750 0.2500 Se
0.0000 0.5000 0.0000 Se
0.0000 0.0000 0.0000 Se
0.3750 0.2500 0.1250 Se
0.5000 0.0000 0.5000 Se
0.5000 0.5000 0.0000 Se
0.1250 0.7500 0.3750 Se
0.7500 0.1250 0.8750 Se
0.7500 0.6250 0.3750 Se
0.3750 0.1250 0.7500 Se
0.6250 0.8750 0.2500 Se
0.5000 0.5000 0.5000 Se
0.5000 0.0000 0.0000 Se
0.0000 0.0000 0.5000 Se
0.2500 0.3750 0.6250 Se
0.2500 0.8750 0.1250 Se
0.0000 0.5000 0.5000 Se
0.8750 0.2500 0.6250 Se
0.6250 0.7500 0.8750 Se
0.8750 0.6250 0.7500 Se
0.7112 0.1171 0.0359 K
0.3248 0.5359 0.4188 K
0.9641 0.3829 0.2888 K
0.5359 0.2112 0.1171 K
0.5940 0.7112 0.6752 K
0.9641 0.5812 0.1752 K
0.3248 0.7888 0.4060 K
0.0812 0.9060 0.1171 K
0.5812 0.9641 0.6752 K
0.7112 0.5940 0.1752 K
0.7888 0.4641 0.3829 K
0.8248 0.9188 0.0359 K
0.1171 0.7112 0.5359 K
0.3829 0.4188 0.0940 K
0.0940 0.9188 0.3829 K
0.4060 0.1171 0.5812 K
0.0940 0.1752 0.2112 K
0.4641 0.6752 0.0812 K
0.8248 0.9060 0.2888 K
0.1171 0.4060 0.0812 K
0.3829 0.9641 0.7888 K
0.5812 0.6171 0.4060 K
0.9188 0.8248 0.5359 K
0.7888 0.3248 0.9060 K
0.4188 0.3829 0.5940 K
0.0812 0.1752 0.4641 K
0.2112 0.6752 0.0940 K
0.1752 0.0940 0.7112 K
0.6171 0.0359 0.2112 K
0.8829 0.5940 0.9188 K
0.5359 0.3248 0.9188 K
0.5940 0.8829 0.4188 K
0.9060 0.8248 0.7888 K
0.9060 0.0812 0.6171 K
0.8829 0.2888 0.4641 K
0.1752 0.0812 0.9641 K
0.6171 0.5812 0.9060 K
0.4188 0.0359 0.3248 K
0.2888 0.4060 0.8248 K
0.2112 0.5359 0.6171 K
0.9188 0.0940 0.8829 K
0.6752 0.2112 0.5940 K
0.4641 0.7888 0.8829 K
0.0359 0.4188 0.8248 K
0.4060 0.2888 0.3248 K
0.0359 0.6171 0.7112 K
0.6752 0.4641 0.5812 K
0.2888 0.8829 0.9641 K
```

Values from the calculation:
The space-group type is Ia-3d, No. 230. The calculation puts the formation energy (no corrections) at -13.24 eV per formula unit.

Record 20
Entry from the Alexandria database: an optimized crystal structure of KAu2Se (PBE).

Geometry as POSCAR:
```
KAu2Se
1.0
-0.3799 1.0397 -6.2808
-4.7651 -2.2267 3.6068
-0.8559 2.6171 0.4850
Au K Se
2 1 1
Direct
0.0000 0.0000 0.0000 Au
0.5000 0.5000 0.0000 Au
0.5000 0.0000 0.5000 K
0.0000 0.5000 0.5000 Se
```

Values from the calculation:
The space-group type is Cmmm, No. 65. The calculation puts the formation energy (no corrections) at 0.31 eV per formula unit.